[1]
This record from the Alexandria database describes an optimized crystal structure of Pr2Ho3Ag3. The functional is GGA-PBE.

abc: 11.434 11.434 11.434
angles: 161.28 153.37 32.75
Sites, in units of the cell vectors:
Pr 0.229 0.229 0.000
Pr 0.771 0.771 0.000
Ho 0.000 0.000 0.000
Ho 0.383 0.883 0.500
Ho 0.617 0.117 0.500
Ag 0.111 0.611 0.500
Ag 0.500 0.500 0.000
Ag 0.889 0.389 0.500

Results
Density ... 8.50 g cm⁻³
Calculated formation energy ... -183 meV per atom
Symmetry ... Immm (71)
Uncorrected energy ... -33.31 eV for the cell shown
Density of states at the Fermi level ... 8.4 states/eV/cell

---

[2]
This record from the Alexandria database describes an optimized crystal structure of ReBPC. The functional is GGA-PBE.

abc: 3.016 5.242 5.242
angles: 31.63 90.00 90.00
Sites, in units of the cell vectors:
Re 0.000 0.000 0.000
B 0.500 0.620 0.620
P 0.500 0.365 0.365
C 0.500 0.181 0.181

Results
Density ... 9.17 g cm⁻³
Calculated formation energy ... 247 meV per atom
Energy above the lowest structure with this stoichiometry ... 0.1355 eV per atom
Symmetry ... Amm2 (38)
Uncorrected energy ... -32.77 eV for the cell shown
Density of states at the Fermi level ... 1.8 states/eV/cell

---

[3]
This record from the Alexandria database describes an optimized crystal structure of TlCd2In2Hg6. The functional is GGA-PBE.

abc: 6.372 6.428 8.157
angles: 76.09 80.58 66.20
Sites, in units of the cell vectors:
Tl 0.000 0.000 0.000
Cd 0.405 0.254 0.930
Cd 0.595 0.746 0.070
In 0.230 0.224 0.585
In 0.770 0.776 0.415
Hg 0.029 0.363 0.223
Hg 0.249 0.794 0.386
Hg 0.455 0.700 0.745
Hg 0.545 0.300 0.255
Hg 0.751 0.206 0.614
Hg 0.971 0.637 0.777

Results
Density ... 10.45 g cm⁻³
Calculated formation energy ... 13 meV per atom
Symmetry ... P-1 (2)
Uncorrected energy ... -11.34 eV for the cell shown
Density of states at the Fermi level ... 3.5 states/eV/cell

---

[4]
This record from the Alexandria database describes an optimized crystal structure of CaTa2Rh3. The functional is GGA-PBE.

abc: 3.168 3.168 10.706
angles: 90.00 90.00 90.00
Sites, in units of the cell vectors:
Ca 0.000 0.000 0.000
Ta 0.000 0.000 0.343
Ta 0.000 0.000 0.657
Rh 0.500 0.500 0.210
Rh 0.500 0.500 0.500
Rh 0.500 0.500 0.790

Results
Density ... 10.99 g cm⁻³
Calculated formation energy ... -434 meV per atom
Symmetry ... P4/mmm (123)
Uncorrected energy ... -50.37 eV for the cell shown
Density of states at the Fermi level ... 5.7 states/eV/cell

---

[5]
This record from the Alexandria database describes an optimized crystal structure of Cu2AsCl. The functional is GGA-PBE.

abc: 7.026 7.026 7.026
angles: 154.31 152.89 37.70
Sites, in units of the cell vectors:
Cu 0.000 0.000 0.000
Cu 0.732 0.232 0.500
As 0.144 0.644 0.500
Cl 0.394 0.394 0.000

Results
Density ... 5.76 g cm⁻³
Energy above the lowest structure with this stoichiometry ... 0.0867 eV per atom
Symmetry ... Imm2 (44)
Uncorrected energy ... -14.67 eV for the cell shown
Density of states at the Fermi level ... 0.9 states/eV/cell

---

[6]
This record from the Alexandria database describes an optimized crystal structure of Cu4MoAs. The functional is GGA-PBE.

abc: 4.899 4.899 4.899
angles: 60.00 60.00 60.00
Sites, in units of the cell vectors:
Cu 0.125 0.125 0.125
Cu 0.125 0.125 0.624
Cu 0.125 0.624 0.125
Cu 0.624 0.125 0.125
Mo 0.500 0.500 0.500
As 0.750 0.750 0.750

Results
Density ... 8.49 g cm⁻³
Calculated formation energy ... 372 meV per atom
Symmetry ... F-43m (216)
Uncorrected energy ... -29.63 eV for the cell shown
Density of states at the Fermi level ... 4.4 states/eV/cell

---

[7]
This record from the Alexandria database describes an optimized crystal structure of CoSbOs2W. The functional is GGA-PBE.

abc: 4.749 4.749 4.382
angles: 90.00 90.00 90.00
Sites, in units of the cell vectors:
Co 0.000 0.000 0.000
Sb 0.000 0.000 0.500
Os 0.000 0.500 0.500
Os 0.500 0.000 0.500
W 0.500 0.500 0.000

Results
Density ... 12.52 g cm⁻³
Symmetry ... P4/mmm (123)
Uncorrected energy ... -34.25 eV for the cell shown
Density of states at the Fermi level ... 9.9 states/eV/cell

---

[8]
This record from the Alexandria database describes an optimized crystal structure of Tc2AgOs. The functional is GGA-PBE.

abc: 4.857 4.857 4.827
angles: 100.15 100.15 32.94
Sites, in units of the cell vectors:
Tc 0.000 0.000 0.000
Tc 0.741 0.741 0.234
Ag 0.238 0.238 0.731
Os 0.476 0.476 0.453

Results
Density ... 13.48 g cm⁻³
Calculated formation energy ... 409 meV per atom
Energy above the lowest structure with this stoichiometry ... 0.1448 eV per atom
Symmetry ... Cm (8)
Uncorrected energy ... -33.18 eV for the cell shown
Density of states at the Fermi level ... 3.0 states/eV/cell

---

[9]
This record from the Alexandria database describes an optimized crystal structure of Cu3HgF. The functional is GGA-PBE.

abc: 4.208 4.208 4.208
angles: 90.00 90.00 90.00
Sites, in units of the cell vectors:
Cu 0.000 0.000 0.500
Cu 0.000 0.500 0.000
Cu 0.500 0.000 0.000
Hg 0.500 0.500 0.500
F 0.000 0.000 0.000

Results
Density ... 9.14 g cm⁻³
Energy above the lowest structure with this stoichiometry ... 0.0000 eV per atom
Symmetry ... Pm-3m (221)
Uncorrected energy ... -14.29 eV for the cell shown
Density of states at the Fermi level ... 0.9 states/eV/cell

---

[10]
This record from the Alexandria database describes an optimized crystal structure of KBaIn2. The functional is GGA-PBE.

abc: 5.981 5.981 5.981
angles: 60.00 60.00 60.00
Sites, in units of the cell vectors:
K 0.000 0.000 0.000
Ba 0.500 0.500 0.500
In 0.250 0.250 0.250
In 0.750 0.750 0.750

Results
Density ... 4.46 g cm⁻³
Calculated formation energy ... -172 meV per atom
Energy above the lowest structure with this stoichiometry ... 0.0531 eV per atom
Symmetry ... Fm-3m (225)
Uncorrected energy ... -9.19 eV for the cell shown
Density of states at the Fermi level ... 3.9 states/eV/cell

---

[11]
This record from the Alexandria database describes an optimized crystal structure of Tm2Cu5Ni4. The functional is GGA-PBE.

abc: 8.974 8.328 4.831
angles: 81.31 66.53 32.15
Sites, in units of the cell vectors:
Tm 0.134 0.134 0.866
Tm 0.866 0.866 0.134
Cu 0.000 0.000 0.500
Cu 0.250 0.250 0.250
Cu 0.500 0.500 0.000
Cu 0.500 0.500 0.500
Cu 0.750 0.750 0.750
Ni 0.211 0.534 0.466
Ni 0.466 0.789 0.211
Ni 0.534 0.211 0.789
Ni 0.789 0.466 0.534

Results
Density ... 9.07 g cm⁻³
Calculated formation energy ... -198 meV per atom
Symmetry ... Fmmm (69)
Uncorrected energy ... -54.72 eV for the cell shown
Density of states at the Fermi level ... 4.3 states/eV/cell

---

[12]
This record from the Alexandria database describes an optimized crystal structure of Ac2CdNi3Sb4. The functional is GGA-PBE.

abc: 4.657 4.657 10.659
angles: 90.00 90.00 90.00
Sites, in units of the cell vectors:
Ac 0.000 0.500 0.244
Ac 0.500 0.000 0.756
Cd 0.000 0.000 0.500
Ni 0.000 0.500 0.889
Ni 0.500 0.000 0.111
Ni 0.500 0.500 0.500
Sb 0.000 0.000 0.000
Sb 0.000 0.500 0.648
Sb 0.500 0.000 0.352
Sb 0.500 0.500 0.000

Results
Density ... 8.83 g cm⁻³
Symmetry ... P-4m2 (115)
Uncorrected energy ... -48.62 eV for the cell shown
Density of states at the Fermi level ... 4.5 states/eV/cell

---

[13]
This record from the Alexandria database describes an optimized crystal structure of Na3Cd3Hg2Au. The functional is GGA-PBE.

abc: 7.886 7.886 4.144
angles: 90.00 90.00 120.00
Sites, in units of the cell vectors:
Na 0.000 0.604 0.000
Na 0.396 0.396 0.000
Na 0.604 0.000 0.000
Cd 0.000 0.253 0.500
Cd 0.253 0.000 0.500
Cd 0.747 0.747 0.500
Hg 0.333 0.667 0.500
Hg 0.667 0.333 0.500
Au 0.000 0.000 0.000

Results
Density ... 7.47 g cm⁻³
Calculated formation energy ... -233 meV per atom
Symmetry ... P-62m (189)
Uncorrected energy ... -12.68 eV for the cell shown
Density of states at the Fermi level ... 1.8 states/eV/cell

---

[14]
This record from the Alexandria database describes an optimized crystal structure of NbPt8Rh6. The functional is GGA-PBE.

abc: 6.789 6.789 6.789
angles: 65.13 65.13 65.13
Sites, in units of the cell vectors:
Nb 0.000 0.000 0.000
Pt 0.143 0.829 0.419
Pt 0.171 0.581 0.857
Pt 0.253 0.253 0.253
Pt 0.419 0.143 0.829
Pt 0.581 0.857 0.171
Pt 0.747 0.747 0.747
Pt 0.829 0.419 0.143
Pt 0.857 0.171 0.581
Rh 0.091 0.362 0.655
Rh 0.345 0.909 0.638
Rh 0.362 0.655 0.091
Rh 0.638 0.345 0.909
Rh 0.655 0.091 0.362
Rh 0.909 0.638 0.345

Results
Density ... 15.33 g cm⁻³
Calculated formation energy ... 91 meV per atom
Symmetry ... R-3 (148)
Uncorrected energy ... -101.13 eV for the cell shown
Density of states at the Fermi level ... 24.8 states/eV/cell

---

[15]
This record from the Alexandria database describes an optimized crystal structure of ThNpCd17. The functional is GGA-PBE.

abc: 7.667 7.667 7.667
angles: 82.09 82.09 82.09
Sites, in units of the cell vectors:
Th 0.000 0.000 0.000
Np 0.663 0.663 0.663
Cd 0.031 0.333 0.632
Cd 0.031 0.632 0.333
Cd 0.178 0.691 0.691
Cd 0.230 0.230 0.230
Cd 0.329 0.329 0.835
Cd 0.329 0.835 0.329
Cd 0.333 0.031 0.632
Cd 0.333 0.632 0.031
Cd 0.435 0.435 0.435
Cd 0.500 0.968 0.968
Cd 0.632 0.031 0.333
Cd 0.632 0.333 0.031
Cd 0.691 0.178 0.691
Cd 0.691 0.691 0.178
Cd 0.835 0.329 0.329
Cd 0.968 0.500 0.968
Cd 0.968 0.968 0.500

Results
Density ... 9.00 g cm⁻³
Calculated formation energy ... 4 meV per atom
Symmetry ... R3m (160)
Uncorrected energy ... -35.83 eV for the cell shown
Density of states at the Fermi level ... 13.6 states/eV/cell

---

[16]
This record from the Alexandria database describes an optimized crystal structure of PaGaCuO5. The functional is GGA-PBE.

abc: 5.573 5.573 7.413
angles: 103.44 103.44 110.52
Sites, in units of the cell vectors:
Pa 0.184 0.816 0.750
Pa 0.816 0.184 0.250
Ga 0.500 0.500 0.000
Ga 0.500 0.500 0.500
Cu 0.163 0.837 0.250
Cu 0.837 0.163 0.750
O 0.157 0.175 0.924
O 0.175 0.157 0.424
O 0.203 0.631 0.422
O 0.369 0.797 0.078
O 0.418 0.582 0.750
O 0.582 0.418 0.250
O 0.631 0.203 0.922
O 0.797 0.369 0.578
O 0.825 0.843 0.576
O 0.843 0.825 0.076

Results
Density ... 7.49 g cm⁻³
Symmetry ... C2/c (15)
Uncorrected energy ... -115.54 eV for the cell shown
Density of states at the Fermi level ... 3.5 states/eV/cell

---

[17]
This record from the Alexandria database describes an optimized crystal structure of Zn2GaBi2. The functional is GGA-PBE.

abc: 8.527 8.527 3.453
angles: 90.00 90.00 90.00
Sites, in units of the cell vectors:
Zn 0.108 0.392 0.000
Zn 0.392 0.892 0.000
Zn 0.608 0.108 0.000
Zn 0.892 0.608 0.000
Ga 0.000 0.000 0.500
Ga 0.500 0.500 0.500
Bi 0.192 0.692 0.500
Bi 0.308 0.192 0.500
Bi 0.692 0.808 0.500
Bi 0.808 0.308 0.500

Results
Density ... 8.18 g cm⁻³
Calculated formation energy ... 212 meV per atom
Energy above the lowest structure with this stoichiometry ... 0.0836 eV per atom
Symmetry ... P4/mbm (127)
Uncorrected energy ... -24.55 eV for the cell shown
Density of states at the Fermi level ... 5.5 states/eV/cell

---

[18]
This record from the Alexandria database describes an optimized crystal structure of DyHo2Al9. The functional is GGA-PBE.

abc: 4.250 4.250 12.750
angles: 90.00 90.00 90.00
Sites, in units of the cell vectors:
Dy 0.000 0.000 0.000
Ho 0.000 0.000 0.334
Ho 0.000 0.000 0.666
Al 0.000 0.500 0.167
Al 0.000 0.500 0.500
Al 0.000 0.500 0.833
Al 0.500 0.000 0.167
Al 0.500 0.000 0.500
Al 0.500 0.000 0.833
Al 0.500 0.500 0.000
Al 0.500 0.500 0.334
Al 0.500 0.500 0.666

Results
Density ... 5.30 g cm⁻³
Calculated formation energy ... -420 meV per atom
Energy above the lowest structure with this stoichiometry ... 0.0000 eV per atom
Symmetry ... P4/mmm (123)
Uncorrected energy ... -52.48 eV for the cell shown
Density of states at the Fermi level ... 5.0 states/eV/cell

---

[19]
This record from the Alexandria database describes an optimized crystal structure of ScIrO2. The functional is GGA-PBE.

abc: 5.926 5.926 5.926
angles: 132.43 132.43 69.55
Sites, in units of the cell vectors:
Sc 0.000 0.000 0.000
Sc 0.750 0.250 0.500
Ir 0.250 0.750 0.500
Ir 0.500 0.500 0.000
O 0.097 0.625 0.972
O 0.375 0.347 0.472
O 0.653 0.125 0.028
O 0.875 0.903 0.528

Results
Density ... 8.04 g cm⁻³
Energy above the lowest structure with this stoichiometry ... 0.6220 eV per atom
Symmetry ... I-42d (122)
Uncorrected energy ... -60.70 eV for the cell shown
Density of states at the Fermi level ... 5.3 states/eV/cell

---

[20]
This record from the Alexandria database describes an optimized crystal structure of AcTh5P6. The functional is GGA-PBE.

abc: 7.248 7.248 7.253
angles: 99.60 99.60 119.99
Sites, in units of the cell vectors:
Ac 0.000 0.000 0.000
Th 0.164 0.836 0.500
Th 0.333 0.667 0.000
Th 0.500 0.500 0.500
Th 0.667 0.333 0.000
Th 0.836 0.164 0.500
P 0.086 0.429 0.257
P 0.259 0.259 0.746
P 0.429 0.086 0.257
P 0.571 0.914 0.743
P 0.741 0.741 0.254
P 0.914 0.571 0.743

Results
Density ... 8.40 g cm⁻³
Calculated formation energy ... -1521 meV per atom
Symmetry ... C2/m (12)
Uncorrected energy ... -91.92 eV for the cell shown
Density of states at the Fermi level ... 6.4 states/eV/cell

---

[21]
This record from the Alexandria database describes an optimized crystal structure of Li2Ce2NdGe2. The functional is GGA-PBE.

abc: 9.313 9.313 9.313
angles: 27.46 27.46 27.46
Sites, in units of the cell vectors:
Li 0.090 0.090 0.090
Li 0.910 0.910 0.910
Ce 0.358 0.358 0.358
Ce 0.642 0.642 0.642
Nd 0.500 0.500 0.500
Ge 0.238 0.238 0.238
Ge 0.762 0.762 0.762

Results
Density ... 6.39 g cm⁻³
Calculated formation energy ... -483 meV per atom
Symmetry ... R-3m (166)
Uncorrected energy ... -33.08 eV for the cell shown
Density of states at the Fermi level ... 10.0 states/eV/cell

---

[22]
This record from the Alexandria database describes an optimized crystal structure of RbTl6Pb. The functional is GGA-PBE.

abc: 5.609 5.609 9.382
angles: 90.00 90.00 90.00
Sites, in units of the cell vectors:
Rb 0.000 0.000 0.000
Tl 0.000 0.500 0.319
Tl 0.000 0.500 0.681
Tl 0.500 0.000 0.319
Tl 0.500 0.000 0.681
Tl 0.500 0.500 0.160
Tl 0.500 0.500 0.840
Pb 0.000 0.000 0.500

Results
Density ... 8.55 g cm⁻³
Calculated formation energy ... 14 meV per atom
Energy above the lowest structure with this stoichiometry ... 0.0228 eV per atom
Symmetry ... P4/mmm (123)
Uncorrected energy ... -18.76 eV for the cell shown
Density of states at the Fermi level ... 3.4 states/eV/cell

---

[23]
This record from the Alexandria database describes an optimized crystal structure of ReCNO2. The functional is GGA-PBE.

abc: 3.373 3.373 3.522
angles: 90.00 90.00 90.00
Sites, in units of the cell vectors:
Re 0.000 0.000 0.000
C 0.500 0.500 0.500
N 0.500 0.500 0.000
O 0.000 0.500 0.500
O 0.500 0.000 0.500

Results
Density ... 10.12 g cm⁻³
Symmetry ... P4/mmm (123)
Uncorrected energy ... -32.27 eV for the cell shown
Density of states at the Fermi level ... 2.8 states/eV/cell

---

[24]
This record from the Alexandria database describes an optimized crystal structure of La2NbHg. The functional is GGA-PBE.

abc: 11.759 11.759 11.759
angles: 16.00 16.00 16.00
Sites, in units of the cell vectors:
La 0.083 0.083 0.083
La 0.917 0.917 0.917
Nb 0.000 0.000 0.000
Hg 0.500 0.500 0.500

Results
Density ... 8.81 g cm⁻³
Calculated formation energy ... 420 meV per atom
Symmetry ... R-3m (166)
Uncorrected energy ... -18.55 eV for the cell shown
Density of states at the Fermi level ... 5.7 states/eV/cell